Material: K4Ac3LaS8
Method: DFT, GGA-PBE
State: relaxed

Structure (POSCAR):
```
K4Ac3LaS8
1.0
4.4006 2.5407 7.4029
-4.4006 2.5407 7.4029
0.0000 -5.0814 7.4029
K Ac La S
4 3 1 8
Direct
0.0000 0.0000 0.0000
0.0000 0.5000 0.5000
0.5000 0.0000 0.5000
0.5000 0.5000 0.0000
0.0000 0.0000 0.5000
0.0000 0.5000 0.0000
0.5000 0.0000 0.0000
0.5000 0.5000 0.5000
0.2384 0.2384 0.2384
0.2436 0.7337 0.7337
0.2663 0.2663 0.7564
0.2663 0.7564 0.2663
0.7337 0.2436 0.7337
0.7337 0.7337 0.2436
0.7564 0.2663 0.2663
0.7616 0.7616 0.7616
```

For the formation energy (no corrections), the calculation gives -1.8984 eV/atom. Its crystal system is trigonal. As for the space group: R-3m, No. 166. Its magnetization is 0.00 μB per formula unit.